Pr3SeSN: optimized geometry, GGA-PBE.

Geometry as POSCAR:
```
Pr3SeSN
1.0
8.5516 0.0000 0.0000
0.0000 4.0501 0.0000
-1.5022 0.0000 9.2760
Pr Se S N
6 2 2 2
Direct
0.0827 0.2500 0.3531
0.3253 0.2500 0.9908
0.3905 0.7500 0.6533
0.6095 0.2500 0.3467
0.6747 0.7500 0.0092
0.9173 0.7500 0.6469
0.3301 0.7500 0.2971
0.6699 0.2500 0.7029
0.1539 0.2500 0.6617
0.8461 0.7500 0.3383
0.4094 0.7500 0.8978
0.5906 0.2500 0.1022
```

space-group type	P2_1/m
spin magnetization	0.00	μB per formula unit
V	26.8	Å³ per atom
calculated density	5.7	g cm⁻³
formation energy without anion corrections	-1619	meV per atom